1.
A geometry-optimized BiRhN2 structure, computed with PBE.

Results
* uncorrected formation energy: 3.77 eV per formula unit
* SG: R-3m, No. 166

a = 3.4736 Å, b = 3.4736 Å, c = 19.0140 Å
α = 90.00°, β = 90.00°, γ = 120.00°
With the nearest neighbours (Å) after each atom.
Fractional coordinates of all 12 atoms:
Bi: 0.0000 0.0000 0.0000  6 N 2.38
Bi: 0.3333 0.6667 0.6667  6 N 2.38
Bi: 0.6667 0.3333 0.3333  6 N 2.38
Rh: 0.0000 0.0000 0.5000  2 N 1.88
Rh: 0.3333 0.6667 0.1667  2 N 1.88
Rh: 0.6667 0.3333 0.8333  2 N 1.88
N: 0.0000 0.0000 0.4011  1 Rh 1.88
N: 0.0000 0.0000 0.5989  1 Rh 1.88
N: 0.3333 0.6667 0.0678  1 Rh 1.88
N: 0.3333 0.6667 0.2656  1 Rh 1.88
N: 0.6667 0.3333 0.7344  1 Rh 1.88
N: 0.6667 0.3333 0.9322  1 Rh 1.88

=====

2.
A geometry-optimized NaBi2F11 structure, computed with PBE.

Results
* uncorrected formation energy: -27.24 eV per formula unit
* SG: Ibam, No. 72

a = 8.5862 Å, b = 8.5862 Å, c = 8.5862 Å
α = 122.70°, β = 105.95°, γ = 100.67°
With the nearest neighbours (Å) after each atom.
Fractional coordinates of all 28 atoms:
Na: 0.2500 0.2500 0.0000  8 F 2.38-2.61
Na: 0.7500 0.7500 0.0000  8 F 2.38-2.61
Bi: 0.1867 0.6334 0.8201  7 F 2.04-2.22
Bi: 0.3133 0.1334 0.4467  7 F 2.04-2.22
Bi: 0.6867 0.8666 0.5533  7 F 2.04-2.22
Bi: 0.8133 0.3666 0.1799  7 F 2.04-2.22
F: 0.0000 0.5000 0.5000  2 Bi 2.22, 2 F 2.42
F: 0.0461 0.9600 0.2743  1 Bi 2.04
F: 0.0518 0.3908 0.1743  1 Bi 2.04
F: 0.1858 0.4600 0.9139  1 Bi 2.04
F: 0.2092 0.3676 0.5767  2 Bi 2.20-2.21, 1 F 2.42
F: 0.2164 0.8775 0.8257  1 Bi 2.04
F: 0.2836 0.1092 0.6610  1 Bi 2.04
F: 0.2908 0.8676 0.1584  2 Bi 2.20-2.21, 1 F 2.42
F: 0.3142 0.2281 0.2743  1 Bi 2.04
F: 0.4482 0.6225 0.3390  1 Bi 2.04
F: 0.4539 0.7281 0.9139  1 Bi 2.04
F: 0.5000 0.0000 0.5000  2 Bi 2.22, 2 F 2.42
F: 0.5461 0.2719 0.0861  1 Bi 2.04
F: 0.5518 0.3775 0.6610  1 Bi 2.04
F: 0.6858 0.7719 0.7257  1 Bi 2.04
F: 0.7091 0.1324 0.8416  2 Bi 2.20-2.21, 1 F 2.42
F: 0.7164 0.8908 0.3390  1 Bi 2.04
F: 0.7836 0.1225 0.1743  1 Bi 2.04
F: 0.7909 0.6324 0.4233  2 Bi 2.20-2.21, 1 F 2.42
F: 0.8142 0.5400 0.0861  1 Bi 2.04
F: 0.9482 0.6092 0.8257  1 Bi 2.04
F: 0.9539 0.0400 0.7257  1 Bi 2.04

=====

3.
A geometry-optimized CeFe2 structure, computed with PBE.

Results
* SG: Fd-3m, No. 227
* formation enthalpy at 0 K: -0.085 eV/atom

a = 5.0917 Å, b = 5.0917 Å, c = 5.0917 Å
α = 60.00°, β = 60.00°, γ = 60.00°
With the nearest neighbours (Å) after each atom.
Fractional coordinates of all 6 atoms:
Ce: 0.1250 0.1250 0.1250  12 Fe 2.99, 4 Ce 3.12
Ce: 0.8750 0.8750 0.8750  12 Fe 2.99, 4 Ce 3.12
Fe: 0.0000 0.5000 0.5000  6 Fe 2.55
Fe: 0.5000 0.0000 0.5000  6 Fe 2.55
Fe: 0.5000 0.5000 0.0000  6 Fe 2.55
Fe: 0.5000 0.5000 0.5000  6 Fe 2.55

=====

4.
A geometry-optimized MgNbOF2 structure, computed with PBE.

Results
* uncorrected formation energy: -9.03 eV per formula unit
* SG: P4/mmm, No. 123
* offset from the most stable computed form: 0.009 eV per atom

a = 3.6980 Å, b = 3.6980 Å, c = 4.4738 Å
α = 90.00°, β = 90.00°, γ = 90.00°
With the nearest neighbours (Å) after each atom.
Fractional coordinates of all 5 atoms:
Mg: 0.0000 0.0000 0.0000  4 F 1.85
Nb: 0.5000 0.5000 0.5000  4 O 2.61, 8 F 2.90
O: 0.0000 0.0000 0.5000  2 Mg 2.24
F: 0.0000 0.5000 0.0000  2 Mg 1.85
F: 0.5000 0.0000 0.0000  2 Mg 1.85

=====

5.
A geometry-optimized Pu2ZnO6 structure, computed with PBE.

Results
* uncorrected formation energy: -21.43 eV per formula unit
* SG: Pnnm, No. 58

a = 5.1136 Å, b = 5.4508 Å, c = 9.3071 Å
α = 90.00°, β = 90.00°, γ = 90.00°
With the nearest neighbours (Å) after each atom.
Fractional coordinates of all 18 atoms:
Pu: 0.0000 0.0000 0.1846  6 O 2.15-2.16
Pu: 0.0000 0.0000 0.8154  6 O 2.15-2.16
Pu: 0.5000 0.5000 0.3154  6 O 2.15-2.16
Pu: 0.5000 0.5000 0.6846  6 O 2.15-2.16
Zn: 0.0000 0.5000 0.0000  6 O 2.09-2.18
Zn: 0.5000 0.0000 0.5000  6 O 2.09-2.18
O: 0.1894 0.1611 0.0000  1 Zn 2.09, 2 Pu 2.16
O: 0.2286 0.6705 0.1707  2 Pu 2.15, 1 Zn 2.18
O: 0.2286 0.6705 0.8293  2 Pu 2.15, 1 Zn 2.18
O: 0.2714 0.1705 0.3293  2 Pu 2.15, 1 Zn 2.18
O: 0.2714 0.1705 0.6707  2 Pu 2.15, 1 Zn 2.18
O: 0.3106 0.6611 0.5000  1 Zn 2.09, 2 Pu 2.16
O: 0.6894 0.3389 0.5000  1 Zn 2.09, 2 Pu 2.16
O: 0.7286 0.8295 0.3293  2 Pu 2.15, 1 Zn 2.18
O: 0.7286 0.8295 0.6707  2 Pu 2.15, 1 Zn 2.18
O: 0.7714 0.3295 0.1707  2 Pu 2.15, 1 Zn 2.18
O: 0.7714 0.3295 0.8293  2 Pu 2.15, 1 Zn 2.18
O: 0.8106 0.8389 0.0000  1 Zn 2.09, 2 Pu 2.16

=====

6.
A geometry-optimized Co2Ge2Pt structure, computed with PBE.

Results
* SG: P4/mbm, No. 127
* formation enthalpy at 0 K: -0.149 eV/atom
* offset from the most stable computed form: 0.031 eV per atom

a = 6.9075 Å, b = 6.9075 Å, c = 2.7481 Å
α = 90.00°, β = 90.00°, γ = 90.00°
With the nearest neighbours (Å) after each atom.
Fractional coordinates of all 10 atoms:
Co: 0.1341 0.3659 0.0000  6 Ge 2.40-2.48, 1 Co 2.62, 2 Pt 2.69
Co: 0.3659 0.8659 0.0000  6 Ge 2.40-2.48, 1 Co 2.62, 2 Pt 2.69
Co: 0.6341 0.1341 0.0000  6 Ge 2.40-2.48, 1 Co 2.62, 2 Pt 2.69
Co: 0.8659 0.6341 0.0000  6 Ge 2.40-2.48, 1 Co 2.62, 2 Pt 2.69
Ge: 0.1640 0.6640 0.5000  6 Co 2.40-2.48
Ge: 0.3360 0.1640 0.5000  6 Co 2.40-2.48
Ge: 0.6640 0.8360 0.5000  6 Co 2.40-2.48
Ge: 0.8360 0.3360 0.5000  6 Co 2.40-2.48
Pt: 0.0000 0.0000 0.0000  4 Co 2.69, 2 Pt 2.75, 8 Ge 2.93
Pt: 0.5000 0.5000 0.0000  4 Co 2.69, 2 Pt 2.75, 8 Ge 2.93

=====

7.
A geometry-optimized Li2TaOs structure, computed with PBE.

Results
* SG: Pm, No. 6
* formation enthalpy at 0 K: 0.162 eV/atom
* offset from the most stable computed form: 0.032 eV per atom

a = 2.6636 Å, b = 4.2656 Å, c = 5.6639 Å
α = 90.00°, β = 99.07°, γ = 90.00°
With the nearest neighbours (Å) after each atom.
Fractional coordinates of all 4 atoms:
Li: 0.0000 0.0000 0.0000  4 Li 2.52-2.66, 2 Os 2.77, 1 Ta 2.79
Li: 0.1756 0.5000 0.7910  4 Li 2.52-2.66
Ta: 0.4926 0.0000 0.4737  2 Os 2.57, 2 Ta 2.66, 1 Li 2.79
Os: 0.7587 0.5000 0.2733  2 Ta 2.57, 2 Os 2.66, 2 Li 2.77

=====

8.
A geometry-optimized AlMoN structure, computed with PBE.

Results
* uncorrected formation energy: -1.25 eV per formula unit
* SG: R3m, No. 160

a = 2.8621 Å, b = 2.8621 Å, c = 14.6996 Å
α = 90.00°, β = 90.00°, γ = 120.00°
With the nearest neighbours (Å) after each atom.
Fractional coordinates of all 9 atoms:
Al: 0.0000 0.0000 0.0000  3 N 2.05
Al: 0.3333 0.6667 0.6667  3 N 2.05
Al: 0.6667 0.3333 0.3333  3 N 2.05
Mo: 0.0000 0.0000 0.5116  3 N 2.17
Mo: 0.3333 0.6667 0.1783  3 N 2.17
Mo: 0.6667 0.3333 0.8450  3 N 2.17
N: 0.0000 0.0000 0.7495  3 Al 2.05, 3 Mo 2.17
N: 0.3333 0.6667 0.4162  3 Al 2.05, 3 Mo 2.17
N: 0.6667 0.3333 0.0828  3 Al 2.05, 3 Mo 2.17

=====

9.
A geometry-optimized BaLa2Cd structure, computed with PBE.

Results
* SG: R3m, No. 160
* formation enthalpy at 0 K: 0.001 eV/atom
* offset from the most stable computed form: 0.107 eV per atom

a = 3.8843 Å, b = 3.8843 Å, c = 35.3459 Å
α = 90.00°, β = 90.00°, γ = 120.00°
With the nearest neighbours (Å) after each atom.
Fractional coordinates of all 12 atoms:
Ba: 0.0000 0.0000 0.0000  3 Cd 3.58, 6 Ba 3.88
Ba: 0.3333 0.6667 0.6667  3 Cd 3.58, 6 Ba 3.88
Ba: 0.6667 0.3333 0.3333  3 Cd 3.58, 6 Ba 3.88
La: 0.0000 0.0000 0.2340  9 La 3.67-3.88
La: 0.0000 0.0000 0.4853  3 Cd 3.42, 3 La 3.67
La: 0.3333 0.6667 0.1520  3 Cd 3.42, 3 La 3.67
La: 0.3333 0.6667 0.9006  9 La 3.67-3.88
La: 0.6667 0.3333 0.5673  9 La 3.67-3.88
La: 0.6667 0.3333 0.8186  3 Cd 3.42, 3 La 3.67
Cd: 0.0000 0.0000 0.7455  3 La 3.42, 3 Ba 3.58
Cd: 0.3333 0.6667 0.4121  3 La 3.42, 3 Ba 3.58
Cd: 0.6667 0.3333 0.0788  3 La 3.42, 3 Ba 3.58

=====

10.
A geometry-optimized Si3AuN structure, computed with PBE.

Results
* uncorrected formation energy: 2.87 eV per formula unit
* SG: Pm-3m, No. 221
* offset from the most stable computed form: 0.000 eV per atom

a = 4.0733 Å, b = 4.0733 Å, c = 4.0733 Å
α = 90.00°, β = 90.00°, γ = 90.00°
With the nearest neighbours (Å) after each atom.
Fractional coordinates of all 5 atoms:
Si: 0.0000 0.0000 0.5000  2 N 2.04
Si: 0.0000 0.5000 0.0000  2 N 2.04
Si: 0.5000 0.0000 0.0000  2 N 2.04
Au: 0.5000 0.5000 0.5000  12 Si 2.88
N: 0.0000 0.0000 0.0000  6 Si 2.04